Entry 1:
{
  "formula": "InW2C",
  "functional": "PBE",
  "state": "optimized geometry",
  "cell": [[4.700, -2.713, 0.000], [4.700, 2.713, 0.000], [-3.140, 0.000, 14.053]],
  "species": ["In", "In", "In", "In", "In", "In", "W", "W", "W", "W", "W", "W", "W", "W", "W", "W", "W", "W", "C", "C", "C", "C", "C", "C"],
  "frac_coords": [[0.082, 0.918, 0.750], [0.251, 0.416, 0.250], [0.416, 0.251, 0.750], [0.584, 0.749, 0.250], [0.749, 0.584, 0.750], [0.918, 0.082, 0.250], [0.028, 0.193, 0.581], [0.139, 0.307, 0.919], [0.193, 0.028, 0.081], [0.307, 0.139, 0.419], [0.360, 0.527, 0.581], [0.473, 0.640, 0.919], [0.527, 0.360, 0.081], [0.640, 0.473, 0.419], [0.693, 0.861, 0.581], [0.807, 0.972, 0.919], [0.861, 0.693, 0.081], [0.972, 0.807, 0.419], [0.000, 0.500, 0.500], [0.168, 0.666, 0.000], [0.334, 0.832, 0.500], [0.500, 0.000, 0.000], [0.666, 0.168, 0.500], [0.832, 0.334, 0.000]]
}

=====

Entry 2:
{
  "formula": "Y4In3W2C3",
  "functional": "PBE",
  "state": "optimized geometry",
  "cell": [[5.142, -3.008, 0.000], [5.142, 3.008, 0.000], [-3.665, 0.000, 14.831]],
  "species": ["Y", "Y", "Y", "Y", "Y", "Y", "Y", "Y", "In", "In", "In", "In", "In", "In", "W", "W", "W", "W", "C", "C", "C", "C", "C", "C"],
  "frac_coords": [[0.047, 0.186, 0.093], [0.119, 0.302, 0.407], [0.186, 0.047, 0.593], [0.302, 0.119, 0.907], [0.698, 0.881, 0.093], [0.814, 0.953, 0.407], [0.881, 0.698, 0.593], [0.953, 0.814, 0.907], [0.139, 0.861, 0.250], [0.298, 0.419, 0.755], [0.419, 0.298, 0.255], [0.581, 0.702, 0.745], [0.702, 0.581, 0.245], [0.861, 0.139, 0.750], [0.344, 0.523, 0.066], [0.477, 0.656, 0.434], [0.523, 0.344, 0.566], [0.656, 0.477, 0.934], [0.000, 0.500, 0.000], [0.205, 0.648, 0.500], [0.352, 0.795, 0.000], [0.500, 0.000, 0.500], [0.648, 0.205, 0.000], [0.795, 0.352, 0.500]]
}

=====

Entry 3:
{
  "formula": "ZnInW4C2",
  "functional": "PBE",
  "state": "optimized geometry",
  "cell": [[3.077, 0.000, 0.000], [-1.538, 2.665, 0.000], [0.000, 0.000, 13.797]],
  "species": ["Zn", "In", "W", "W", "W", "W", "C", "C"],
  "frac_coords": [[0.000, 0.000, 0.000], [0.333, 0.667, 0.500], [0.000, 0.000, 0.327], [0.000, 0.000, 0.673], [0.333, 0.667, 0.157], [0.333, 0.667, 0.843], [0.667, 0.333, 0.242], [0.667, 0.333, 0.758]]
}

=====

Entry 4:
{
  "formula": "Zr2In3W4C3",
  "functional": "PBE",
  "state": "optimized geometry",
  "cell": [[4.825, -2.795, 0.000], [4.825, 2.795, 0.000], [-3.310, 0.000, 14.102]],
  "species": ["Zr", "Zr", "Zr", "Zr", "In", "In", "In", "In", "In", "In", "W", "W", "W", "W", "W", "W", "W", "W", "C", "C", "C", "C", "C", "C"],
  "frac_coords": [[0.033, 0.868, 0.596], [0.132, 0.967, 0.904], [0.868, 0.033, 0.096], [0.967, 0.132, 0.404], [0.085, 0.296, 0.751], [0.296, 0.085, 0.251], [0.464, 0.536, 0.750], [0.536, 0.464, 0.250], [0.704, 0.915, 0.749], [0.915, 0.704, 0.249], [0.193, 0.355, 0.075], [0.304, 0.478, 0.425], [0.355, 0.193, 0.575], [0.478, 0.304, 0.925], [0.522, 0.696, 0.075], [0.645, 0.807, 0.425], [0.696, 0.522, 0.575], [0.807, 0.645, 0.925], [0.000, 0.500, 0.500], [0.168, 0.664, 0.000], [0.336, 0.832, 0.500], [0.500, 0.000, 0.000], [0.664, 0.168, 0.500], [0.832, 0.336, 0.000]]
}

=====

Entry 5:
{
  "formula": "Y4ZnInC2",
  "functional": "PBE",
  "state": "optimized geometry",
  "cell": [[3.618, 0.000, 0.000], [-1.809, 3.133, 0.000], [0.000, 0.000, 15.640]],
  "species": ["Y", "Y", "Y", "Y", "Zn", "In", "C", "C"],
  "frac_coords": [[0.000, 0.000, 0.154], [0.000, 0.000, 0.846], [0.667, 0.333, 0.327], [0.667, 0.333, 0.673], [0.667, 0.333, 0.000], [0.000, 0.000, 0.500], [0.333, 0.667, 0.239], [0.333, 0.667, 0.761]]
}

=====

Entry 6:
{
  "formula": "Y2Zr4In3C3",
  "functional": "PBE",
  "state": "optimized geometry",
  "cell": [[5.177, -2.992, 0.000], [5.177, 2.992, 0.000], [-3.524, 0.000, 15.216]],
  "species": ["Y", "Y", "Y", "Y", "Zr", "Zr", "Zr", "Zr", "Zr", "Zr", "Zr", "Zr", "In", "In", "In", "In", "In", "In", "C", "C", "C", "C", "C", "C"],
  "frac_coords": [[0.034, 0.872, 0.600], [0.128, 0.966, 0.900], [0.872, 0.034, 0.100], [0.966, 0.128, 0.400], [0.193, 0.353, 0.078], [0.300, 0.481, 0.422], [0.353, 0.193, 0.578], [0.481, 0.300, 0.922], [0.519, 0.700, 0.078], [0.647, 0.807, 0.422], [0.700, 0.519, 0.578], [0.807, 0.647, 0.922], [0.084, 0.352, 0.751], [0.352, 0.084, 0.251], [0.480, 0.520, 0.250], [0.520, 0.480, 0.750], [0.648, 0.916, 0.749], [0.916, 0.648, 0.249], [0.000, 0.500, 0.500], [0.173, 0.655, 0.000], [0.345, 0.827, 0.500], [0.500, 0.000, 0.000], [0.655, 0.173, 0.500], [0.827, 0.345, 0.000]]
}

=====

Entry 7:
{
  "formula": "Zr4ZnInC2",
  "functional": "PBE",
  "state": "optimized geometry",
  "cell": [[3.347, 0.000, 0.000], [-1.674, 2.899, 0.000], [0.000, 0.000, 14.777]],
  "species": ["Zr", "Zr", "Zr", "Zr", "Zn", "In", "C", "C"],
  "frac_coords": [[0.000, 0.000, 0.158], [0.000, 0.000, 0.842], [0.333, 0.667, 0.329], [0.333, 0.667, 0.671], [0.333, 0.667, 0.000], [0.000, 0.000, 0.500], [0.667, 0.333, 0.244], [0.667, 0.333, 0.756]]
}

=====

Entry 8:
{
  "formula": "Ir4C3",
  "functional": "PBE",
  "state": "optimized geometry",
  "cell": [[1.690, 0.976, 8.138], [-1.690, 0.976, 8.138], [0.000, -1.952, 8.138]],
  "species": ["Ir", "Ir", "Ir", "Ir", "C", "C", "C"],
  "frac_coords": [[0.125, 0.125, 0.125], [0.293, 0.293, 0.293], [0.707, 0.707, 0.707], [0.875, 0.875, 0.875], [0.000, 0.000, 0.000], [0.440, 0.440, 0.440], [0.560, 0.560, 0.560]]
}

=====

Entry 9:
{
  "formula": "Ir14C",
  "functional": "PBE",
  "state": "optimized geometry",
  "cell": [[4.097, 2.366, 4.091], [-4.097, 2.366, 4.091], [0.000, -4.731, 4.091]],
  "species": ["Ir", "Ir", "Ir", "Ir", "Ir", "Ir", "Ir", "Ir", "Ir", "Ir", "Ir", "Ir", "Ir", "Ir", "C"],
  "frac_coords": [[0.150, 0.150, 0.150], [0.162, 0.500, 0.838], [0.162, 0.838, 0.500], [0.235, 0.235, 0.552], [0.235, 0.552, 0.235], [0.448, 0.765, 0.765], [0.500, 0.162, 0.838], [0.500, 0.838, 0.162], [0.552, 0.235, 0.235], [0.765, 0.448, 0.765], [0.765, 0.765, 0.448], [0.838, 0.162, 0.500], [0.838, 0.500, 0.162], [0.850, 0.850, 0.850], [0.000, 0.000, 0.000]]
}

=====

Entry 10:
{
  "formula": "Ir3C7",
  "functional": "PBE",
  "state": "optimized geometry",
  "cell": [[-3.584, 3.584, 3.584], [3.584, -3.584, 3.584], [3.584, 3.584, -3.584]],
  "species": ["Ir", "Ir", "Ir", "Ir", "Ir", "Ir", "C", "C", "C", "C", "C", "C", "C", "C", "C", "C", "C", "C", "C", "C"],
  "frac_coords": [[0.000, 0.326, 0.326], [0.000, 0.674, 0.674], [0.326, 0.000, 0.326], [0.326, 0.326, 0.000], [0.674, 0.000, 0.674], [0.674, 0.674, 0.000], [0.000, 0.000, 0.380], [0.000, 0.000, 0.620], [0.000, 0.380, 0.000], [0.000, 0.620, 0.000], [0.250, 0.500, 0.750], [0.250, 0.750, 0.500], [0.380, 0.000, 0.000], [0.380, 0.380, 0.380], [0.500, 0.250, 0.750], [0.500, 0.750, 0.250], [0.620, 0.000, 0.000], [0.620, 0.620, 0.620], [0.750, 0.250, 0.500], [0.750, 0.500, 0.250]]
}

=====

Entry 11:
{
  "formula": "Ir4C5",
  "functional": "PBE",
  "state": "optimized geometry",
  "cell": [[5.036, 0.000, 0.000], [0.000, 5.036, 0.000], [0.000, 0.000, 15.034]],
  "species": ["Ir", "Ir", "Ir", "Ir", "Ir", "Ir", "Ir", "Ir", "Ir", "Ir", "Ir", "Ir", "Ir", "Ir", "Ir", "Ir", "C", "C", "C", "C", "C", "C", "C", "C", "C", "C", "C", "C", "C", "C", "C", "C", "C", "C", "C", "C"],
  "frac_coords": [[0.000, 0.000, 0.000], [0.000, 0.000, 0.250], [0.000, 0.000, 0.500], [0.000, 0.000, 0.750], [0.000, 0.500, 0.060], [0.000, 0.500, 0.326], [0.000, 0.500, 0.560], [0.000, 0.500, 0.826], [0.500, 0.000, 0.174], [0.500, 0.000, 0.440], [0.500, 0.000, 0.674], [0.500, 0.000, 0.940], [0.500, 0.500, 0.135], [0.500, 0.500, 0.365], [0.500, 0.500, 0.635], [0.500, 0.500, 0.865], [0.160, 0.229, 0.147], [0.160, 0.771, 0.647], [0.191, 0.334, 0.946], [0.191, 0.666, 0.446], [0.229, 0.160, 0.353], [0.229, 0.840, 0.853], [0.322, 0.322, 0.750], [0.322, 0.678, 0.250], [0.334, 0.191, 0.554], [0.334, 0.809, 0.054], [0.666, 0.191, 0.054], [0.666, 0.809, 0.554], [0.678, 0.322, 0.250], [0.678, 0.678, 0.750], [0.771, 0.160, 0.853], [0.771, 0.840, 0.353], [0.809, 0.334, 0.446], [0.809, 0.666, 0.946], [0.840, 0.229, 0.647], [0.840, 0.771, 0.147]]
}

=====

Entry 12:
{
  "formula": "KIrC2O6",
  "functional": "PBE",
  "state": "optimized geometry",
  "cell": [[4.011, -4.702, 0.000], [4.011, 4.702, 0.000], [-2.484, 0.000, 6.272]],
  "species": ["K", "K", "Ir", "Ir", "C", "C", "C", "C", "O", "O", "O", "O", "O", "O", "O", "O", "O", "O", "O", "O"],
  "frac_coords": [[0.103, 0.897, 0.750], [0.897, 0.103, 0.250], [0.334, 0.666, 0.250], [0.666, 0.334, 0.750], [0.202, 0.405, 0.794], [0.405, 0.202, 0.294], [0.595, 0.798, 0.706], [0.798, 0.595, 0.206], [0.013, 0.687, 0.282], [0.279, 0.326, 0.209], [0.290, 0.606, 0.928], [0.313, 0.987, 0.218], [0.326, 0.279, 0.709], [0.394, 0.710, 0.572], [0.606, 0.290, 0.428], [0.674, 0.721, 0.291], [0.687, 0.013, 0.782], [0.710, 0.394, 0.072], [0.721, 0.674, 0.791], [0.987, 0.313, 0.718]]
}

=====

Entry 13:
{
  "formula": "KRbIrC2",
  "functional": "PBE",
  "state": "optimized geometry",
  "cell": [[5.432, 0.000, 0.000], [-2.716, 4.704, 0.000], [0.000, 0.000, 5.151]],
  "species": ["K", "Rb", "Ir", "C", "C"],
  "frac_coords": [[0.000, 0.000, 0.000], [0.333, 0.667, 0.547], [0.667, 0.333, 0.270], [0.667, 0.333, 0.644], [0.667, 0.333, 0.897]]
}

=====

Entry 14:
{
  "formula": "La2Ir2C3",
  "functional": "PBE",
  "state": "optimized geometry",
  "cell": [[5.440, -1.741, 0.000], [5.440, 1.741, 0.000], [-3.980, 0.000, 5.840]],
  "species": ["La", "La", "Ir", "Ir", "C", "C", "C"],
  "frac_coords": [[0.065, 0.065, 0.331], [0.935, 0.935, 0.669], [0.286, 0.286, 0.878], [0.714, 0.714, 0.122], [0.302, 0.302, 0.293], [0.500, 0.500, 0.000], [0.698, 0.698, 0.707]]
}

=====

Entry 15:
{
  "formula": "La7Ir4C9",
  "functional": "PBE",
  "state": "optimized geometry",
  "cell": [[5.986, -2.714, 0.000], [5.986, 2.714, 0.000], [-4.239, 0.000, 11.181]],
  "species": ["La", "La", "La", "La", "La", "La", "La", "Ir", "Ir", "Ir", "Ir", "C", "C", "C", "C", "C", "C", "C", "C", "C"],
  "frac_coords": [[0.000, 0.000, 0.000], [0.135, 0.135, 0.613], [0.153, 0.153, 0.318], [0.374, 0.374, 0.161], [0.626, 0.626, 0.839], [0.847, 0.847, 0.682], [0.865, 0.865, 0.387], [0.358, 0.358, 0.858], [0.431, 0.431, 0.568], [0.569, 0.569, 0.432], [0.642, 0.642, 0.142], [0.078, 0.078, 0.820], [0.195, 0.195, 0.855], [0.382, 0.382, 0.706], [0.387, 0.387, 0.381], [0.500, 0.500, 0.000], [0.613, 0.613, 0.619], [0.618, 0.618, 0.294], [0.805, 0.805, 0.145], [0.922, 0.922, 0.180]]
}

=====

Entry 16:
{
  "formula": "LaNdIr2C2N2",
  "functional": "PBE",
  "state": "optimized geometry",
  "cell": [[3.799, 0.000, 0.000], [0.000, 3.799, 0.000], [0.000, 0.000, 7.554]],
  "species": ["La", "Nd", "Ir", "Ir", "C", "C", "N", "N"],
  "frac_coords": [[0.000, 0.000, 0.000], [0.500, 0.500, 0.661], [0.000, 0.500, 0.334], [0.500, 0.000, 0.334], [0.000, 0.000, 0.485], [0.500, 0.500, 0.175], [0.000, 0.000, 0.669], [0.500, 0.500, 0.992]]
}

=====

Entry 17:
{
  "formula": "NdSmIr2C2N2",
  "functional": "PBE",
  "state": "optimized geometry",
  "cell": [[3.770, 0.000, 0.000], [0.000, 3.770, 0.000], [0.000, 0.000, 7.480]],
  "species": ["Nd", "Sm", "Ir", "Ir", "C", "C", "N", "N"],
  "frac_coords": [[0.000, 0.000, 0.000], [0.500, 0.500, 0.338], [0.000, 0.500, 0.667], [0.500, 0.000, 0.667], [0.000, 0.000, 0.513], [0.500, 0.500, 0.827], [0.000, 0.000, 0.328], [0.500, 0.500, 0.013]]
}

=====

Entry 18:
{
  "formula": "TbSmIr2C2N2",
  "functional": "PBE",
  "state": "optimized geometry",
  "cell": [[3.746, 0.000, 0.000], [0.000, 3.746, 0.000], [0.000, 0.000, 7.385]],
  "species": ["Tb", "Sm", "Ir", "Ir", "C", "C", "N", "N"],
  "frac_coords": [[0.000, 0.000, 0.000], [0.500, 0.500, 0.336], [0.000, 0.500, 0.670], [0.500, 0.000, 0.670], [0.000, 0.000, 0.508], [0.500, 0.500, 0.825], [0.000, 0.000, 0.319], [0.500, 0.500, 0.014]]
}

=====

Q: Which calculated total energy values were calculated for the entries above? A: -0.67788 -0.56182 -0.66719 -0.65309 -0.46700 -0.55430 -0.56389 -0.59435 -0.61262 -0.54686 -0.58934 -0.51456 -0.41367 -0.58313 -0.58414 -0.61073 -0.60766 -0.60787, in Ry/atom.